Compound: LiAcMgSn2
Source: the Alexandria database
Functional: GGA-PBE
Structure: relaxed

Calculated values
E_form = -50.1 kJ per mole of atoms
M_tot = 0.00 μB/f.u.

Geometry as CIF:
```
data_LiAcMgSn2
_chemical_formula_sum 'Li2 Ac2 Mg2 Sn4'
_space_group_name_H-M_alt 'I -4 m 2'
_space_group_IT_number 119
_space_group_name_Hall 'I -4 -2'
_cell_length_a 4.680
_cell_length_b 4.680
_cell_length_c 12.397
_cell_angle_alpha 90.00
_cell_angle_beta 90.00
_cell_angle_gamma 90.00
loop_
_atom_site_label
_atom_site_fract_x
_atom_site_fract_y
_atom_site_fract_z
Li1 0.000 0.000 0.000
Ac1 0.000 0.500 0.250
Mg1 0.000 0.000 0.500
Sn1 0.000 0.500 0.633
```

Compound: Li4Ac2MgSn3
Source: the Alexandria database
Functional: GGA-PBE
Structure: relaxed

Calculated values
E_form = -45.1 kJ per mole of atoms
M_tot = 0.30 μB/f.u.

Geometry as CIF:
```
data_Li4Ac2MgSn3
_chemical_formula_sum 'Li4 Ac2 Mg1 Sn3'
_space_group_name_H-M_alt 'P -4 m 2'
_space_group_IT_number 115
_space_group_name_Hall 'P -4 -2'
_cell_length_a 4.706
_cell_length_b 4.706
_cell_length_c 11.270
_cell_angle_alpha 90.00
_cell_angle_beta 90.00
_cell_angle_gamma 90.00
loop_
_atom_site_label
_atom_site_fract_x
_atom_site_fract_y
_atom_site_fract_z
Li1 0.000 0.000 0.000
Li2 0.000 0.500 0.367
Li3 0.500 0.500 0.000
Ac1 0.000 0.500 0.767
Mg1 0.500 0.500 0.500
Sn1 0.000 0.000 0.500
Sn2 0.000 0.500 0.131
```

Compound: LiAcMg2Sn4
Source: the Alexandria database
Functional: GGA-PBE
Structure: relaxed

Calculated values
E_form = -31.4 kJ per mole of atoms
M_tot = 0.00 μB/f.u.

Geometry as CIF:
```
data_LiAcMg2Sn4
_chemical_formula_sum 'Li3 Ac3 Mg6 Sn12'
_space_group_name_H-M_alt 'R -3 m'
_space_group_IT_number 166
_space_group_name_Hall '-R 3 2"'
_cell_length_a 5.0783
_cell_length_b 5.0783
_cell_length_c 27.9166
_cell_angle_alpha 90.00
_cell_angle_beta 90.00
_cell_angle_gamma 120.00
loop_
_atom_site_label
_atom_site_fract_x
_atom_site_fract_y
_atom_site_fract_z
Li1 0.0000 0.0000 0.0000
Ac1 0.0000 0.0000 0.5000
Mg1 0.0000 0.0000 0.2540
Sn1 0.0000 0.0000 0.1045
Sn2 0.0000 0.0000 0.3657
```

Compound: Li3Ac2MgSn4
Source: the Alexandria database
Functional: GGA-PBE
Structure: relaxed

Calculated values
E_form = -55.7 kJ per mole of atoms
M_tot = 0.00 μB/f.u.

Geometry as CIF:
```
data_Li3Ac2MgSn4
_chemical_formula_sum 'Li3 Ac2 Mg1 Sn4'
_space_group_name_H-M_alt 'P -4 m 2'
_space_group_IT_number 115
_space_group_name_Hall 'P -4 -2'
_cell_length_a 4.616
_cell_length_b 4.616
_cell_length_c 12.014
_cell_angle_alpha 90.00
_cell_angle_beta 90.00
_cell_angle_gamma 90.00
loop_
_atom_site_label
_atom_site_fract_x
_atom_site_fract_y
_atom_site_fract_z
Li1 0.000 0.000 0.000
Li2 0.000 0.500 0.632
Ac1 0.000 0.500 0.257
Mg1 0.500 0.500 0.000
Sn1 0.000 0.000 0.500
Sn2 0.000 0.500 0.854
Sn3 0.500 0.500 0.500
```